Material: CaMn2Re
Method: DFT, PBE
State: optimized geometry

Output
Energy above the lowest structure with this stoichiometry ... 413 meV per atom
Symmetry ... F-43m
V ... 16.13 A^3/atom
DOS at the Fermi energy ... 3.9 states/eV per cell
Raw total energy ... -29.6 eV/f.u.
Total magnetic moment ... 4.9 Bohr magnetons per cell
Energy relative to the elements ... 0.786 eV/atom

Structure (extended XYZ):
```
4
Lattice="4.502 0.000 0.000 2.251 3.899 0.000 2.251 1.300 3.676" Properties=species:S:1:pos:R:3 pbc="T T T"
Mn 0.000 0.000 0.000
Mn 2.251 1.300 0.919
Ca 4.502 2.599 1.838
Re 6.753 3.899 2.757
```

=====

Material: Rb3Pm3ZrTe8
Method: DFT, PBE
State: optimized geometry

Output
Symmetry ... R-3m
V ... 40.87 A^3/atom
Raw total energy ... -70.1 eV/f.u.
Total magnetic moment ... 0.0 Bohr magnetons per cell
ΔE_f (raw) ... -1.28 eV per atom

Structure (extended XYZ):
```
15
Lattice="-6.500 -3.067 -5.385 4.947 -5.757 4.797 -6.879 5.433 5.209" Properties=species:S:1:pos:R:3 pbc="T T T"
Rb 2.473 -2.878 2.398
Rb -0.777 -4.412 -0.294
Rb 0.000 0.000 0.000
Te -1.129 -2.260 2.650
Te -4.846 -4.130 4.240
Te -4.024 0.538 4.551
Te -1.407 -2.507 7.089
Te -3.586 0.740 0.381
Te -7.303 -1.130 1.970
Te -7.025 -0.883 -2.468
Te -4.408 -3.929 0.069
Pm -4.216 -1.695 2.310
Pm -6.690 1.183 -0.088
Pm -0.966 -0.162 5.003
Zr -3.439 2.717 2.604
```

=====

Material: Dy11Rh4Pb9
Method: DFT, PBE
State: optimized geometry

Output
Symmetry ... Cmmm
V ... 25.53 A^3/atom
DOS at the Fermi energy ... 14.0 states/eV per cell
Raw total energy ... -128.0 eV/f.u.
Total magnetic moment ... 0.0 Bohr magnetons per cell
Energy relative to the elements ... -0.610 eV/atom

Structure (extended XYZ):
```
24
Lattice="-2.227 0.149 -3.039 10.278 4.031 -7.336 -1.171 -13.202 0.211" Properties=species:S:1:pos:R:3 pbc="T T T"
Dy 4.191 0.580 -3.044
Dy 0.369 -5.172 -0.525
Dy 2.834 -2.854 -2.218
Dy 8.435 1.257 -6.121
Dy 0.000 0.000 0.000
Dy 6.015 -2.386 -4.526
Dy 0.672 -10.427 -1.004
Dy 6.272 -6.316 -4.908
Dy 8.737 -3.998 -6.601
Dy 4.916 -9.751 -4.082
Dy 3.092 -6.785 -2.599
Pb 5.176 0.654 -6.101
Pb 7.207 -1.392 -7.691
Pb 7.537 -6.507 -8.184
Pb 1.704 -9.676 -4.063
Pb -0.328 -7.630 -2.473
Pb 5.841 -9.059 -7.066
Pb 1.038 0.038 -3.098
Pb 3.440 -4.511 -5.082
Pb -0.658 -2.515 -1.981
Rh 3.220 -1.369 -4.767
Rh 5.985 -4.153 -6.930
Rh 3.659 -7.653 -5.397
Rh 0.895 -4.869 -3.234
```

=====

Material: SrH16O10
Method: DFT, PBE
State: optimized geometry

Output
Energy above the lowest structure with this stoichiometry ... 22 meV per atom
Symmetry ... P1
V ... 8.46 A^3/atom
DOS at the Fermi energy ... 0.0 states/eV per cell
Raw total energy ... -135.8 eV/f.u.
Total magnetic moment ... 0.1 Bohr magnetons per cell

Structure (extended XYZ):
```
54
Lattice="-4.422 4.310 0.909 -2.791 -1.326 -5.738 -6.673 -7.736 4.684" Properties=species:S:1:pos:R:3 pbc="T T T"
H -8.361 -4.403 4.375
H -10.734 -4.278 1.146
H -9.071 -2.267 -2.036
H -3.302 -0.433 -1.190
H -3.624 2.542 -0.020
H -5.586 -0.313 -4.467
H -7.141 -1.165 -2.082
H -6.072 -4.566 -1.267
H -10.320 -7.236 -0.105
H -9.180 -4.276 3.003
H -9.271 -3.243 -0.793
H -5.936 1.261 -2.119
H -4.798 -0.375 -3.078
H -4.137 -3.664 -1.266
H -6.325 -2.943 3.022
H -8.264 -0.823 1.388
H -7.994 -7.225 2.856
H -5.269 -2.570 -1.566
H -8.550 -2.898 1.174
H -6.011 2.611 -2.988
H -7.210 -4.610 -0.169
H -7.440 -2.032 -3.413
H -4.653 -1.532 0.571
H -3.542 -3.267 0.395
H -5.129 -2.927 1.998
H -11.732 -3.239 1.771
H -6.424 -0.255 -0.190
H -8.025 -5.867 2.021
H -9.764 -1.364 1.285
H -4.439 1.179 -0.306
H -9.557 -5.870 0.213
H -2.299 -1.397 -1.924
O -9.200 -4.781 1.407
O -8.464 -3.780 0.614
O -7.409 -6.594 2.344
O -2.351 -0.754 -1.154
O -11.669 -3.903 1.027
O -5.787 -3.556 2.463
O -7.560 0.320 0.750
O -6.621 -5.197 -0.720
O -7.839 -1.320 -2.771
O -9.707 -2.934 -1.637
O -6.577 1.972 -2.462
O -5.858 -0.822 -0.840
O -4.911 -3.409 -1.930
O -4.128 -1.845 1.338
O -4.927 0.150 -1.481
O -8.915 -1.571 1.775
O -4.131 1.805 0.431
O -4.735 -0.640 -4.052
O -9.210 -4.042 3.984
O -9.814 -6.491 -0.544
Sr -8.819 1.061 -3.592
Sr -5.063 -5.731 3.469
```